VASP calculation (GGA-PBE) on a geometry-optimized Na2SrHg structure.

a = 5.6744 Å, b = 5.6744 Å, c = 9.6444 Å
α = 107.11°, β = 107.11°, γ = 90.00°
Fractional coordinates of all 8 atoms:
Na: 0.0000 0.5000 0.0000
Na: 0.5000 0.0000 0.0000
Na: 0.3611 0.3611 0.7222
Na: 0.6389 0.6389 0.2778
Sr: 0.1524 0.1524 0.3048
Sr: 0.8476 0.8476 0.6952
Hg: 0.2500 0.7500 0.5000
Hg: 0.7500 0.2500 0.5000

Results
N(E_F): 0.709 states/eV/atom
theoretical density: 3930 kg/m3
energy of formation from the pure elements: -197 meV per atom
volume: 141 Å³/f.u.
symmetry: I4/mmm
total energy: -10.82 eV/cell